Compound: YTlI2O
Source: the Alexandria database
Functional: PBE
Structure: relaxed

```
YTlI2O
1.0
6.321 0.000 0.000
0.000 6.321 0.000
0.000 0.000 4.095
Y I O Tl
1 2 1 1
Cartesian
3.160 3.160 2.048
3.160 0.000 0.000
0.000 3.160 0.000
0.000 0.000 2.048
0.000 0.000 0.000
```

Computed properties:
- total moment (μB per atom) = 0.0008
- ΔE_f (raw) (eV/atom) = -0.259